La2Ce3HoTe6 (PBE, optimized geometry); spin magnetization = 3.48 μB/cell; mass density = 7.0 g/cm3; formation energy from raw total energies = -1.422 eV per atom
1.0
3.876 -6.723 0.000
3.876 6.723 0.000
-2.594 0.000 7.402
La Ce Ho Te
2 3 1 6
Cartesian
3.876 4.499 0.000 La
3.876 -4.499 0.000 La
-1.297 0.000 3.701 Ce
2.579 2.323 3.701 Ce
2.579 -2.323 3.701 Ce
3.876 0.000 0.000 Ho
0.040 2.170 5.576 Te
1.383 0.000 1.877 Te
0.040 -2.170 5.576 Te
5.119 2.170 1.827 Te
3.776 0.000 5.525 Te
5.119 -2.170 1.827 Te


LaCeHoTh (PBE, optimized geometry); spin magnetization = 5.13 μB/cell; mass density = 8.6 g/cm3; formation energy = 81 kJ/mol of formula units
1.0
8.042 0.000 0.000
0.000 8.042 0.000
0.000 0.000 8.042
La Ce Ho Th
4 4 4 4
Cartesian
0.000 0.000 0.000 La
0.000 4.021 4.021 La
4.021 0.000 4.021 La
4.021 4.021 0.000 La
2.010 2.010 6.031 Ce
2.010 6.031 2.010 Ce
6.031 2.010 2.010 Ce
6.031 6.031 6.031 Ce
2.010 2.010 2.010 Ho
2.010 6.031 6.031 Ho
6.031 2.010 6.031 Ho
6.031 6.031 2.010 Ho
0.000 0.000 4.021 Th
0.000 4.021 0.000 Th
4.021 0.000 0.000 Th
4.021 4.021 4.021 Th


LaCeHoTh (PBE, optimized geometry); spin magnetization = 0.00 μB/cell; mass density = 8.8 g/cm3; formation energy = 12 kJ/mol of formula units
1.0
3.551 0.000 0.000
0.000 3.551 0.000
0.000 0.000 10.060
La Ce Ho Th
1 1 1 1
Cartesian
0.000 0.000 0.000 La
1.776 1.776 7.526 Ce
1.776 1.776 2.751 Ho
0.000 0.000 5.184 Th